(1)
The following is a GGA-PBEsol calculation of a geometry-optimized SiAsP2F structure, from the Alexandria database.

Values from the calculation:
VASP energy ... -4.202 eV/atom
ΔE_f (raw) ... 3.35 eV per formula unit

a b c (Å): 4.3456 4.3456 4.3846
angles (deg): 90.00 90.00 90.00
Last column: nearest neighbours and their distance in Å.
Space group P4/mmm (No. 123)
Inequivalent atoms, fractional coordinates:
Si: 0.0000 0.0000 0.0000  4 As 3.07, 8 P 3.09
As: 0.5000 0.5000 0.0000  2 F 2.19
P: 0.0000 0.5000 0.5000  2 F 2.17
F: 0.5000 0.5000 0.5000  4 P 2.17, 2 As 2.19

***

(2)
The following is a GGA-PBEsol calculation of a geometry-optimized Te7Ru structure, from the Alexandria database.

Values from the calculation:
VASP energy ... -3.714 eV/atom
ΔE_f (raw) ... 5.14 eV per formula unit

a b c (Å): 9.2274 9.2274 9.2274
angles (deg): 90.00 90.00 90.00
Last column: nearest neighbours and their distance in Å.
Space group Fm-3m (No. 225)
Inequivalent atoms, fractional coordinates:
Te: 0.0000 0.0000 0.0000  12 Te 3.26
Te: 0.0000 0.2500 0.2500  10 Te 3.26, 2 Ru 3.26
Ru: 0.0000 0.0000 0.5000  12 Te 3.26

***

(3)
The following is a GGA-PBEsol calculation of a geometry-optimized YScO3 structure, from the Alexandria database.

Values from the calculation:
VASP energy ... -9.431 eV/atom
ΔE_f (raw) ... -17.98 eV per formula unit

a b c (Å): 6.1373 6.1373 12.1101
angles (deg): 90.00 90.00 120.00
Last column: nearest neighbours and their distance in Å.
Space group P6_3cm (No. 185)
Inequivalent atoms, fractional coordinates:
Y: 0.0000 0.0000 0.0000  7 O 2.28-2.43
Y: 0.3333 0.6667 0.0398  6 O 2.27-2.31
Sc: 0.0000 0.3336 0.2733  5 O 2.03-2.07
O: 0.0000 0.0000 0.2995  3 Sc 2.07
O: 0.0000 0.3073 0.1052  1 Sc 2.04, 3 Y 2.27-2.28
O: 0.0000 0.3595 0.4403  1 Sc 2.03
O: 0.3333 0.6667 0.2525  3 Sc 2.06

***

(4)
The following is a GGA-PBEsol calculation of a geometry-optimized CrRuPt2Pb structure, from the Alexandria database.

Values from the calculation:
VASP energy ... -5.497 eV/atom

a b c (Å): 4.9323 4.9323 4.9111
angles (deg): 90.00 90.00 90.00
Last column: nearest neighbours and their distance in Å.
Space group P4/mmm (No. 123)
Inequivalent atoms, fractional coordinates:
Cr: 0.0000 0.0000 0.0000  2 Pb 2.46
Ru: 0.5000 0.5000 0.0000  8 Pt 3.48, 4 Cr 3.49
Pt: 0.0000 0.5000 0.5000  2 Pb 2.47
Pb: 0.0000 0.0000 0.5000  2 Cr 2.46, 4 Pt 2.47

***

(5)
The following is a GGA-PBEsol calculation of a geometry-optimized CaBe2P2 structure, from the Alexandria database.

Values from the calculation:
VASP energy ... -5.088 eV/atom

a b c (Å): 3.7152 3.7152 6.5467
angles (deg): 90.00 90.00 120.00
Last column: nearest neighbours and their distance in Å.
Space group P-3m1 (No. 164)
Inequivalent atoms, fractional coordinates:
Ca: 0.0000 0.0000 0.0000  6 P 2.84
Be: 0.3333 0.6667 0.6234  4 P 2.23
P: 0.3333 0.6667 0.2832  4 Be 2.23

***

(6)
The following is a GGA-PBEsol calculation of a geometry-optimized NaSi2BiCl structure, from the Alexandria database.

Values from the calculation:
VASP energy ... -2.655 eV/atom
ΔE_f (raw) ... 5.91 eV per formula unit

a b c (Å): 4.9439 4.9439 5.5505
angles (deg): 90.00 90.00 90.00
Last column: nearest neighbours and their distance in Å.
Space group P4/mmm (No. 123)
Inequivalent atoms, fractional coordinates:
Na: 0.0000 0.0000 0.0000  4 Si 2.47
Si: 0.0000 0.5000 0.0000  2 Na 2.47
Bi: 0.0000 0.0000 0.5000  2 Na 2.78
Cl: 0.5000 0.5000 0.5000  4 Bi 3.50, 8 Si 3.72

***

(7)
The following is a GGA-PBEsol calculation of a geometry-optimized CoCuP structure, from the Alexandria database.

Values from the calculation:
VASP energy ... -5.981 eV/atom

a b c (Å): 2.6569 2.6569 5.5732
angles (deg): 90.00 90.00 120.00
Last column: nearest neighbours and their distance in Å.
Space group P3m1 (No. 156)
Inequivalent atoms, fractional coordinates:
Co: 0.0000 0.0000 0.0000  3 P 2.20
Cu: 0.3333 0.6667 0.6347  3 P 2.49, 3 Co 2.55, 6 Cu 2.66
P: 0.6667 0.3333 0.2823  3 Co 2.20

***

(8)
The following is a GGA-PBEsol calculation of a geometry-optimized FeTc2Ir structure, from the Alexandria database.

Values from the calculation:
VASP energy ... -9.993 eV/atom

a b c (Å): 6.0130 6.0130 6.0130
angles (deg): 90.00 90.00 90.00
Last column: nearest neighbours and their distance in Å.
Space group Fm-3m (No. 225)
Inequivalent atoms, fractional coordinates:
Fe: 0.0000 0.0000 0.0000  8 Tc 2.60
Tc: 0.2500 0.2500 0.2500  4 Fe 2.60, 4 Ir 2.60
Ir: 0.0000 0.0000 0.5000  8 Tc 2.60